Computed, not measured: a PBEsol-optimized structure of BeTl2Ag at the meta-GGA SCAN level of DFT.

Geometry as POSCAR:
```
BeTl2Ag
1.0
3.288 0.000 0.000
-1.644 2.848 0.000
0.000 0.000 25.191
Be Tl Ag
3 6 3
Direct
0.000 0.000 0.000
0.333 0.667 0.667
0.667 0.333 0.333
0.000 0.000 0.257
0.000 0.000 0.743
0.333 0.667 0.409
0.333 0.667 0.924
0.667 0.333 0.076
0.667 0.333 0.591
0.000 0.000 0.500
0.333 0.667 0.167
0.667 0.333 0.833
```

Results
Calculated total energy in eV per atom: -44.689
DOS at the Fermi energy in states/eV/atom: 0.39
Formation energy from the elements in eV per atom: 0.421
Volume in Å³/cell: 236
Density in kg/m3: 11101
Symmetry: No. 166